(1)
Compound: In2HgSe
Source: the Alexandria database
Functional: PBE-GGA
Structure: relaxed

Cell and atoms, written as POSCAR:
```
In2HgSe
1.0
4.016 0.000 0.000
0.000 4.043 0.000
0.000 0.000 14.213
In Hg Se
4 2 2
Cartesian
0.000 0.000 0.000
0.000 2.021 3.258
2.008 0.000 10.365
2.008 2.021 7.107
0.000 0.000 5.722
2.008 2.021 12.829
0.000 2.021 9.190
2.008 0.000 2.084
```

## Properties
Energy above the most stable polymorph in this dataset, eV per atom: 0.079
Density of states at the Fermi level, states/eV/atom: 0.36
Final energy, eV/atom: -2.49
Formation energy (no corrections), meV per atom: -171

(2)
Compound: LiMnTl3
Source: the Alexandria database
Functional: PBE-GGA
Structure: relaxed

Cell and atoms, written as POSCAR:
```
LiMnTl3
1.0
5.089 0.000 0.000
0.000 5.089 0.000
0.000 0.000 5.089
Li Mn Tl
1 1 3
Cartesian
0.000 0.000 0.000
2.545 2.545 2.545
0.000 0.000 2.545
0.000 2.545 0.000
2.545 0.000 0.000
```

## Properties
Energy above the most stable polymorph in this dataset, eV per atom: 0.194
Density of states at the Fermi level, states/eV/atom: 0.58
DFT formation energy, eV/atom: 0.4942
Final energy, eV/atom: -3.14

(3)
Compound: YTl2In
Source: the Alexandria database
Functional: PBE-GGA
Structure: relaxed

Cell and atoms, written as POSCAR:
```
YTl2In
1.0
4.623 0.000 0.000
0.000 4.623 0.000
0.000 0.000 10.077
Y Tl In
2 4 2
Cartesian
0.000 0.000 0.000
2.312 2.312 5.039
0.000 2.312 2.519
0.000 2.312 7.558
2.312 0.000 2.519
2.312 0.000 7.558
0.000 0.000 5.039
2.312 2.312 0.000
```

## Properties
Density of states at the Fermi level, states/eV/atom: 0.66
DFT formation energy, eV/atom: -0.2163
Final energy, eV/atom: -3.70

(4)
Compound: Nd3Ga2Ni9
Source: the Alexandria database
Functional: PBE-GGA
Structure: relaxed

Cell and atoms, written as POSCAR:
```
Nd3Ga2Ni9
1.0
-2.009 4.639 6.121
2.009 -4.639 6.121
2.009 4.639 -6.121
Nd Ga Ni
3 2 9
Cartesian
0.000 0.000 0.000
0.000 0.000 3.716
0.000 0.000 8.526
2.009 2.586 0.000
0.000 2.053 6.121
2.009 -1.764 2.389
2.009 -2.070 4.796
0.000 2.569 1.325
2.009 1.764 2.389
0.000 4.639 0.000
0.000 2.876 3.732
2.009 2.070 4.796
0.000 6.709 1.325
0.000 6.403 3.732
```

## Properties
Density of states at the Fermi level, states/eV/atom: 0.85
DFT formation energy, eV/atom: -0.3371
Final energy, eV/atom: -5.51

(5)
Compound: RbCaSnSe3
Source: the Alexandria database
Functional: PBE-GGA
Structure: relaxed

Cell and atoms, written as POSCAR:
```
RbCaSnSe3
1.0
2.403 -7.600 0.000
2.403 7.600 0.000
0.000 0.000 11.372
Rb Ca Sn Se
2 2 2 6
Cartesian
2.403 3.873 8.529
2.403 -3.873 2.843
0.000 0.000 0.000
0.000 0.000 5.686
2.403 0.239 2.843
2.403 -0.239 8.529
2.403 6.575 2.843
2.403 1.819 0.770
2.403 1.819 4.916
2.403 -1.819 6.456
2.403 -1.819 10.601
2.403 -6.575 8.529
```

## Properties
Density of states at the Fermi level, states/eV/atom: 0.21
Final energy, eV/atom: -4.04
Formation energy (no corrections), meV per atom: -1137

(6)
Compound: NdSm2Tl9
Source: the Alexandria database
Functional: PBE-GGA
Structure: relaxed

Cell and atoms, written as POSCAR:
```
NdSm2Tl9
1.0
4.817 0.000 0.000
0.000 4.817 0.000
0.000 0.000 14.450
Nd Sm Tl
1 2 9
Cartesian
0.000 0.000 0.000
0.000 0.000 4.825
0.000 0.000 9.625
0.000 2.408 2.427
0.000 2.408 7.225
0.000 2.408 12.023
2.408 0.000 2.427
2.408 0.000 7.225
2.408 0.000 12.023
2.408 2.408 0.000
2.408 2.408 4.823
2.408 2.408 9.627
```

## Properties
Density of states at the Fermi level, states/eV/atom: 0.39
DFT formation energy, eV/atom: -0.3023
Final energy, eV/atom: -3.26

Please write out number 2 again, unchanged.
Compound: LiMnTl3
Source: the Alexandria database
Functional: PBE-GGA
Structure: relaxed

Cell and atoms, written as POSCAR:
```
LiMnTl3
1.0
5.089 0.000 0.000
0.000 5.089 0.000
0.000 0.000 5.089
Li Mn Tl
1 1 3
Cartesian
0.000 0.000 0.000
2.545 2.545 2.545
0.000 0.000 2.545
0.000 2.545 0.000
2.545 0.000 0.000
```

## Properties
Energy above the most stable polymorph in this dataset, eV per atom: 0.194
Density of states at the Fermi level, states/eV/atom: 0.58
DFT formation energy, eV/atom: 0.4942
Final energy, eV/atom: -3.14

Q: density of states at the Fermi level of number 6 (NdSm2Tl9)?
A: 0.39 states/eV/atom

Q: What is the final energy in the first record?
A: -2.49 eV/atom